Record 1
A plane-wave DFT calculation with GGA-PBE was carried out for a relaxed structure of Sc3BBr.

Output
- Offset from the most stable computed form: 0 kJ/mol of formula units
- Uncorrected formation energy: -214 meV per atom

Cell and atoms, written as extended XYZ:
```
5
Lattice="-2.707 -3.652 -1.269 1.053 -2.187 4.048 -3.720 2.039 2.069" Properties=species:S:1:pos:R:3 pbc="T T T"
Sc -1.860 1.020 1.034
Sc 0.526 -1.093 2.024
Sc -1.354 -1.826 -0.634
Br -2.688 -1.900 2.424
B 0.000 0.000 0.000
```

Record 2
A plane-wave DFT calculation with GGA-PBE was carried out for a relaxed structure of KScBiPd2.

Output
- Energy of formation: 0.9692 eV/atom

Cell and atoms, written as extended XYZ:
```
5
Lattice="-4.791 -0.794 -0.006 0.818 -4.959 3.256 -0.437 2.604 4.076" Properties=species:S:1:pos:R:3 pbc="T T T"
Bi 0.409 -2.480 1.628
Pd -2.395 -0.397 -0.003
Pd -0.219 1.302 2.038
Sc -2.205 -1.575 3.663
K 0.000 0.000 0.000
```

no.,DOS(E_F) (states/eV/f.u.),VASP energy (eV per cell)
1,6.517,-28.4
2,9.327,-16.8